Y2TaCoH: optimized geometry, PBE.

```
Y2TaCoH
1.0
5.5867 0.0000 0.0000
0.0000 5.5867 0.0000
0.0000 0.0000 4.3118
Y Ta Co H
2 1 1 1
Direct
0.0000 0.5000 0.0000
0.5000 0.0000 0.0000
0.0000 0.0000 0.0000
0.0000 0.0000 0.5000
0.5000 0.5000 0.5000
```

Output
Final energy   -5.89 eV per atom
Magnetic moment   0.000 μB per formula unit
Theoretical density   5166 kg/m³

=====

NbCuGe2: optimized geometry, PBE.

```
NbCuGe2
1.0
4.2783 0.0000 0.0000
0.0000 4.2783 0.0000
0.0000 0.0000 3.4453
Nb Cu Ge
1 1 2
Direct
0.0000 0.0000 0.0000
0.5000 0.5000 0.0000
0.0000 0.5000 0.5000
0.5000 0.0000 0.5000
```

Output
Final energy   -5.89 eV per atom
Energy relative to the elements   -0.04 eV/atom
Magnetic moment   0.000 μB per formula unit
Theoretical density   7945 kg/m³

=====

MgAuO2: optimized geometry, PBE.

```
MgAuO2
1.0
2.8640 -5.6620 0.0000
2.8640 5.6620 0.0000
0.0000 0.0000 3.0836
Mg Au O
2 2 4
Direct
0.0000 0.5000 0.0000
0.5000 0.0000 0.0000
0.0000 0.0000 0.5000
0.5000 0.5000 0.5000
0.1188 0.8812 0.0000
0.3125 0.6875 0.5000
0.6875 0.3125 0.5000
0.8812 0.1188 0.0000
```

Output
Final energy   -5.03 eV per atom
Magnetic moment   0.000 μB per formula unit
Theoretical density   8411 kg/m³

=====

KRbTl: optimized geometry, PBE.

```
KRbTl
1.0
9.0706 -2.6852 0.0000
9.0706 2.6852 0.0000
-1.1670 0.0000 7.2109
K Rb Tl
2 2 2
Direct
0.1667 0.1667 0.3458
0.8333 0.8333 0.6542
0.4206 0.4206 0.2134
0.5794 0.5794 0.7866
0.2350 0.2350 0.8923
0.7650 0.7650 0.1077
```

Output
Final energy   -1.53 eV per atom
Energy relative to the elements   -0.05 eV/atom
Magnetic moment   0.000 μB per formula unit
Theoretical density   3110 kg/m³

=====

CoCuH4: optimized geometry, PBE.

```
CoCuH4
1.0
2.2760 -4.8994 0.0000
2.2760 4.8994 0.0000
-1.6336 0.0000 3.9834
Co Cu H
2 2 8
Direct
0.0590 0.9410 0.7500
0.9410 0.0590 0.2500
0.1973 0.8027 0.2500
0.8027 0.1973 0.7500
0.0167 0.3808 0.1886
0.1714 0.2827 0.6467
0.2827 0.1714 0.1467
0.3808 0.0167 0.6886
0.6192 0.9833 0.3114
0.7173 0.8286 0.8533
0.8286 0.7173 0.3533
0.9833 0.6192 0.8114
```

Output
Final energy   -3.97 eV per atom
Magnetic moment   0.000 μB per formula unit
Theoretical density   4729 kg/m³

=====

LiMg3: optimized geometry, PBE.

```
LiMg3
1.0
6.3411 0.0000 0.0000
-3.1706 5.4916 0.0000
0.0000 0.0000 5.0057
Li Mg
2 6
Direct
0.3333 0.6667 0.2500
0.6667 0.3333 0.7500
0.1690 0.3379 0.7500
0.1690 0.8310 0.7500
0.3379 0.1690 0.2500
0.6621 0.8310 0.7500
0.8310 0.1690 0.2500
0.8310 0.6621 0.2500
```

Output
Final energy   -1.71 eV per atom
Energy relative to the elements   -0.04 eV/atom
Magnetic moment   0.000 μB per formula unit
Theoretical density   1521 kg/m³

=====

Which formula does entry 6 have? LiMg3